1.
Computed, not measured: an optimized crystal structure of Li5Sb3 at the PBE level of DFT.

The structure in POSCAR format:
```
Li5Sb3
1.0
4.3329 0.0000 0.0000
0.0000 6.0615 0.0511
0.0000 -0.1666 6.0595
Sb Li
3 5
Cartesian
2.1664 1.1978 4.7432
0.0000 2.9475 3.0553
2.1664 4.6972 1.3674
0.0000 3.0308 0.0256
2.1664 4.3195 4.4776
0.0000 0.0000 0.0000
0.0000 -0.0833 3.0297
2.1664 1.5754 1.6330
```

Summary:
* energy above the lowest structure with this stoichiometry: 0 meV per atom

=====

2.
Computed, not measured: an optimized crystal structure of MnZnCrIr2 at the PBE level of DFT.

The structure in POSCAR format:
```
MnZnCrIr2
1.0
4.4450 0.0000 0.0000
0.0000 4.2365 0.0000
0.0000 0.0000 4.4450
Ir Zn Mn Cr
2 1 1 1
Cartesian
2.2225 0.0000 0.0000
0.0000 0.0000 2.2225
0.0000 0.0000 0.0000
0.0000 2.1182 0.0000
2.2225 2.1182 2.2225
```

Summary:
* energy of formation from the pure elements: 8.9 eV/f.u.

=====

Size of the total moment values (in μB/f.u.) by entry order: 0.0; 0.5.